Compound: PmPr6Ho2Sc
Source: the Alexandria database
Functional: GGA-PBE
Structure: relaxed

Cell lengths 6.404, 6.404, 9.046 Å; angles 99.41, 99.41, 72.77 degrees
Sites, in units of the cell vectors:
Pm1 0.000 0.000 0.000
Pr1 0.153 0.588 0.219
Pr2 0.160 0.160 0.447
Pr3 0.412 0.847 0.781
Pr4 0.588 0.153 0.219
Pr5 0.840 0.840 0.553
Pr6 0.847 0.412 0.781
Ho1 0.368 0.368 0.864
Ho2 0.632 0.632 0.136
Sc1 0.500 0.500 0.500

## Properties
E_form ... 0.21 eV per atom
Crystal system ... monoclinic


Compound: CdSn2Au2
Source: the Alexandria database
Functional: GGA-PBE
Structure: relaxed

Cell lengths 8.240, 8.240, 3.489 Å; angles 90.00, 90.00, 90.00 degrees
Sites, in units of the cell vectors:
Cd1 0.000 0.000 0.000
Cd2 0.500 0.500 0.000
Sn1 0.175 0.325 0.000
Sn2 0.325 0.825 0.000
Sn3 0.675 0.175 0.000
Sn4 0.825 0.675 0.000
Au1 0.124 0.624 0.500
Au2 0.376 0.124 0.500
Au3 0.624 0.876 0.500
Au4 0.876 0.376 0.500

## Properties
ΔE to the lowest computed polymorph ... 129 meV per atom
E_form ... 0.00 eV per atom
Crystal system ... tetragonal


Compound: La3InCo
Source: the Alexandria database
Functional: GGA-PBE
Structure: relaxed

Cell lengths 7.574, 7.574, 6.269 Å; angles 90.00, 90.00, 127.32 degrees
Sites, in units of the cell vectors:
La1 0.000 0.000 0.000
La2 0.000 0.000 0.500
La3 0.060 0.448 0.750
La4 0.448 0.060 0.250
La5 0.552 0.940 0.750
La6 0.940 0.552 0.250
In1 0.437 0.563 0.250
In2 0.563 0.437 0.750
Co1 0.172 0.828 0.750
Co2 0.828 0.172 0.250

## Properties
ΔE to the lowest computed polymorph ... 236 meV per atom
E_form ... -0.06 eV per atom
Crystal system ... orthorhombic


Compound: CrCd4Rh
Source: the Alexandria database
Functional: GGA-PBE
Structure: relaxed

Cell lengths 5.502, 5.502, 5.502 Å; angles 60.00, 60.00, 60.00 degrees
Sites, in units of the cell vectors:
Cr1 0.000 0.000 0.000
Cd1 0.375 0.375 0.375
Cd2 0.375 0.375 0.874
Cd3 0.375 0.874 0.375
Cd4 0.874 0.375 0.375
Rh1 0.750 0.750 0.750

## Properties
E_form ... 0.36 eV per atom
Crystal system ... cubic


Compound: Be3Au5
Source: the Alexandria database
Functional: GGA-PBE
Structure: relaxed

Cell lengths 5.501, 5.501, 3.931 Å; angles 90.00, 90.00, 99.01 degrees
Sites, in units of the cell vectors:
Be1 0.000 0.000 0.000
Be2 0.276 0.724 0.500
Be3 0.724 0.276 0.500
Au1 0.000 0.500 0.000
Au2 0.195 0.195 0.500
Au3 0.500 0.000 0.000
Au4 0.500 0.500 0.000
Au5 0.805 0.805 0.500

## Properties
ΔE to the lowest computed polymorph ... 100 meV per atom
E_form ... -0.04 eV per atom
Crystal system ... orthorhombic


Compound: Ti2InFePb
Source: the Alexandria database
Functional: GGA-PBE
Structure: relaxed

Cell lengths 5.149, 5.149, 5.466 Å; angles 90.00, 90.00, 90.00 degrees
Sites, in units of the cell vectors:
Ti1 0.000 0.500 0.000
Ti2 0.500 0.000 0.000
In1 0.000 0.000 0.000
Fe1 0.500 0.500 0.500
Pb1 0.000 0.000 0.500

## Properties
E_form ... 1.55 eV per atom
Crystal system ... tetragonal


Compound: NaSrN3
Source: the Alexandria database
Functional: GGA-PBE
Structure: relaxed

Cell lengths 4.843, 4.843, 4.843 Å; angles 90.00, 90.00, 90.00 degrees
Sites, in units of the cell vectors:
Na1 0.000 0.000 0.000
Sr1 0.500 0.500 0.500
N1 0.000 0.500 0.500
N2 0.500 0.000 0.500
N3 0.500 0.500 0.000

## Properties
Crystal system ... cubic
Formation energy (no corrections) ... 1680 meV/atom


Compound: Ac3SbPt
Source: the Alexandria database
Functional: GGA-PBE
Structure: relaxed

Cell lengths 5.861, 5.861, 5.861 Å; angles 90.00, 90.00, 90.00 degrees
Sites, in units of the cell vectors:
Ac1 0.000 0.000 0.500
Ac2 0.000 0.500 0.000
Ac3 0.500 0.000 0.000
Sb1 0.500 0.500 0.500
Pt1 0.000 0.000 0.000

## Properties
Crystal system ... cubic
Formation energy (no corrections) ... -646 meV/atom


Compound: LaHo2Ag6
Source: the Alexandria database
Functional: GGA-PBE
Structure: relaxed

Cell lengths 8.300, 8.300, 3.478 Å; angles 90.00, 90.00, 120.00 degrees
Sites, in units of the cell vectors:
La1 0.000 0.000 0.000
Ho1 0.333 0.667 0.000
Ho2 0.667 0.333 0.000
Ag1 0.000 0.337 0.500
Ag2 0.000 0.663 0.500
Ag3 0.337 0.000 0.500
Ag4 0.337 0.337 0.500
Ag5 0.663 0.000 0.500
Ag6 0.663 0.663 0.500

## Properties
E_form ... -0.25 eV per atom
Crystal system ... hexagonal


Compound: NaBiO2
Source: the Alexandria database
Functional: GGA-PBE
Structure: relaxed

Cell lengths 6.364, 6.364, 6.364 Å; angles 31.97, 31.97, 31.97 degrees
Sites, in units of the cell vectors:
Na1 0.000 0.000 0.000
Bi1 0.826 0.826 0.826
O1 0.233 0.233 0.233
O2 0.417 0.417 0.417

## Properties
Crystal system ... trigonal
Formation energy (no corrections) ... -1245 meV/atom


Compound: CaTlSe
Source: the Alexandria database
Functional: GGA-PBE
Structure: relaxed

Cell lengths 4.302, 4.302, 6.041 Å; angles 90.00, 90.00, 120.00 degrees
Sites, in units of the cell vectors:
Ca1 0.000 0.000 0.000
Tl1 0.333 0.667 0.581
Se1 0.667 0.333 0.215

## Properties
ΔE to the lowest computed polymorph ... 212 meV per atom
Crystal system ... trigonal
Formation energy (no corrections) ... -814 meV/atom


Compound: Li3CaAl8
Source: the Alexandria database
Functional: GGA-PBE
Structure: relaxed

Cell lengths 5.483, 5.483, 8.907 Å; angles 90.00, 90.00, 120.00 degrees
Sites, in units of the cell vectors:
Li1 0.000 0.000 0.000
Li2 0.000 0.000 0.347
Li3 0.333 0.667 0.872
Ca1 0.333 0.667 0.495
Al1 0.007 0.503 0.177
Al2 0.328 0.164 0.687
Al3 0.497 0.503 0.177
Al4 0.497 0.993 0.177
Al5 0.667 0.333 0.428
Al6 0.667 0.333 0.936
Al7 0.836 0.164 0.687
Al8 0.836 0.672 0.687

## Properties
E_form ... -0.13 eV per atom
Crystal system ... trigonal


Compound: InHgW2
Source: the Alexandria database
Functional: GGA-PBE
Structure: relaxed

Cell lengths 9.780, 9.780, 9.780 Å; angles 17.46, 17.46, 17.46 degrees
Sites, in units of the cell vectors:
In1 0.000 0.000 0.000
Hg1 0.500 0.500 0.500
W1 0.250 0.250 0.250
W2 0.750 0.750 0.750

## Properties
ΔE to the lowest computed polymorph ... 279 meV per atom
E_form ... 0.77 eV per atom
Crystal system ... trigonal


Compound: LaTl2CoAu
Source: the Alexandria database
Functional: GGA-PBE
Structure: relaxed

Cell lengths 5.055, 5.055, 5.032 Å; angles 90.00, 90.00, 90.00 degrees
Sites, in units of the cell vectors:
La1 0.000 0.000 0.000
Tl1 0.000 0.500 0.500
Tl2 0.500 0.000 0.500
Co1 0.000 0.000 0.500
Au1 0.500 0.500 0.000

## Properties
E_form ... -0.19 eV per atom
Crystal system ... tetragonal


Compound: Tl3SnPt
Source: the Alexandria database
Functional: GGA-PBE
Structure: relaxed

Cell lengths 5.363, 5.363, 5.363 Å; angles 90.00, 90.00, 90.00 degrees
Sites, in units of the cell vectors:
Tl1 0.000 0.000 0.500
Tl2 0.000 0.500 0.000
Tl3 0.500 0.000 0.000
Sn1 0.500 0.500 0.500
Pt1 0.000 0.000 0.000

## Properties
ΔE to the lowest computed polymorph ... 0 meV per atom
E_form ... 0.16 eV per atom
Crystal system ... cubic


Compound: ZrInPd14
Source: the Alexandria database
Functional: GGA-PBE
Structure: relaxed

Cell lengths 5.703, 5.703, 7.852 Å; angles 90.00, 90.00, 90.00 degrees
Sites, in units of the cell vectors:
Zr1 0.000 0.000 0.000
In1 0.500 0.500 0.000
Pd1 0.000 0.000 0.500
Pd2 0.000 0.500 0.000
Pd3 0.000 0.500 0.500
Pd4 0.248 0.248 0.251
Pd5 0.248 0.248 0.749
Pd6 0.248 0.752 0.251
Pd7 0.248 0.752 0.749
Pd8 0.500 0.000 0.000
Pd9 0.500 0.000 0.500
Pd10 0.500 0.500 0.500
Pd11 0.752 0.248 0.251
Pd12 0.752 0.248 0.749
Pd13 0.752 0.752 0.251
Pd14 0.752 0.752 0.749

## Properties
E_form ... -0.31 eV per atom
Crystal system ... tetragonal


Compound: BaNi3H
Source: the Alexandria database
Functional: GGA-PBE
Structure: relaxed

Cell lengths 5.050, 5.050, 5.050 Å; angles 90.00, 90.00, 90.00 degrees
Sites, in units of the cell vectors:
Ba1 0.000 0.000 0.000
Ni1 0.000 0.000 0.500
Ni2 0.000 0.500 0.000
Ni3 0.500 0.000 0.000
H1 0.500 0.500 0.500

## Properties
ΔE to the lowest computed polymorph ... 1820 meV per atom
Crystal system ... cubic


Compound: Y2SbC
Source: the Alexandria database
Functional: GGA-PBE
Structure: relaxed

Cell lengths 6.257, 6.257, 6.257 Å; angles 109.20, 109.20, 110.01 degrees
Sites, in units of the cell vectors:
Y1 0.046 0.625 0.921
Y2 0.375 0.296 0.421
Y3 0.704 0.125 0.079
Y4 0.875 0.954 0.579
Sb1 0.250 0.750 0.500
Sb2 0.500 0.500 0.000
C1 0.000 0.000 0.000
C2 0.750 0.250 0.500

## Properties
Crystal system ... tetragonal
Formation energy (no corrections) ... -395 meV/atom


Compound: CsK2SbH
Source: the Alexandria database
Functional: GGA-PBE
Structure: relaxed

Cell lengths 5.541, 5.541, 5.981 Å; angles 90.00, 90.00, 90.00 degrees
Sites, in units of the cell vectors:
Cs1 0.000 0.000 0.000
K1 0.000 0.500 0.500
K2 0.500 0.000 0.500
Sb1 0.500 0.500 0.000
H1 0.000 0.000 0.500

## Properties
VASP energy ... -11.6 eV per cell
Crystal system ... tetragonal


Compound: YHgSb3
Source: the Alexandria database
Functional: GGA-PBE
Structure: relaxed

Cell lengths 5.498, 5.498, 5.498 Å; angles 90.00, 90.00, 90.00 degrees
Sites, in units of the cell vectors:
Y1 0.000 0.000 0.000
Hg1 0.500 0.500 0.500
Sb1 0.000 0.500 0.500
Sb2 0.500 0.000 0.500
Sb3 0.500 0.500 0.000

## Properties
ΔE to the lowest computed polymorph ... 139 meV per atom
Crystal system ... cubic
Formation energy (no corrections) ... 423 meV/atom


Compound: LaFeSi2
Source: the Alexandria database
Functional: GGA-PBE
Structure: relaxed

Cell lengths 4.825, 4.825, 4.825 Å; angles 126.88, 110.71, 92.65 degrees
Sites, in units of the cell vectors:
La1 0.000 0.000 0.000
Fe1 0.642 0.142 0.500
Si1 0.309 0.809 0.500
Si2 0.524 0.524 0.000

## Properties
Crystal system ... orthorhombic
Formation energy (no corrections) ... 17 meV/atom


Compound: BeSiF3
Source: the Alexandria database
Functional: GGA-PBE
Structure: relaxed

Cell lengths 4.145, 4.145, 4.145 Å; angles 90.00, 90.00, 90.00 degrees
Sites, in units of the cell vectors:
Be1 0.000 0.000 0.000
Si1 0.500 0.500 0.500
F1 0.000 0.500 0.500
F2 0.500 0.000 0.500
F3 0.500 0.500 0.000

## Properties
ΔE to the lowest computed polymorph ... 636 meV per atom
Crystal system ... cubic
Formation energy (no corrections) ... -954 meV/atom


Compound: MgAsPtSe2
Source: the Alexandria database
Functional: GGA-PBE
Structure: relaxed

Cell lengths 5.278, 5.278, 4.577 Å; angles 90.00, 90.00, 90.00 degrees
Sites, in units of the cell vectors:
Mg1 0.000 0.000 0.000
As1 0.500 0.500 0.000
Pt1 0.500 0.500 0.500
Se1 0.000 0.500 0.500
Se2 0.500 0.000 0.500

## Properties
ΔE to the lowest computed polymorph ... 0 meV per atom
Crystal system ... tetragonal
Formation energy (no corrections) ... 184 meV/atom


Compound: Hf3Se
Source: the Alexandria database
Functional: GGA-PBE
Structure: relaxed

Cell lengths 8.213, 8.213, 8.213 Å; angles 96.07, 96.07, 142.03 degrees
Sites, in units of the cell vectors:
Hf1 0.064 0.031 0.600
Hf2 0.119 0.460 0.619
Hf3 0.178 0.367 0.981
Hf4 0.385 0.196 0.019
Hf5 0.430 0.464 0.400
Hf6 0.500 0.881 0.341
Hf7 0.536 0.936 0.966
Hf8 0.540 0.159 0.659
Hf9 0.633 0.615 0.811
Hf10 0.804 0.822 0.189
Hf11 0.841 0.500 0.381
Hf12 0.969 0.570 0.034
Se1 0.059 0.735 0.746
Se2 0.265 0.011 0.325
Se3 0.687 0.941 0.675
Se4 0.989 0.313 0.254

## Properties
ΔE to the lowest computed polymorph ... 7 meV per atom
Crystal system ... tetragonal
Formation energy (no corrections) ... -561 meV/atom


Compound: TaInCuNi2
Source: the Alexandria database
Functional: GGA-PBE
Structure: relaxed

Cell lengths 4.577, 4.577, 5.176 Å; angles 90.00, 90.00, 90.00 degrees
Sites, in units of the cell vectors:
Ta1 0.000 0.000 0.000
In1 0.000 0.000 0.500
Cu1 0.500 0.500 0.000
Ni1 0.000 0.500 0.500
Ni2 0.500 0.000 0.500

## Properties
E_form ... 1.76 eV per atom
Crystal system ... tetragonal


Compound: Li8Ag3Hg2
Source: the Alexandria database
Functional: GGA-PBE
Structure: relaxed

Cell lengths 8.055, 8.055, 4.669 Å; angles 90.00, 90.00, 127.11 degrees
Sites, in units of the cell vectors:
Li1 0.109 0.891 0.000
Li2 0.198 0.410 0.500
Li3 0.324 0.676 0.000
Li4 0.410 0.198 0.500
Li5 0.590 0.802 0.500
Li6 0.676 0.324 0.000
Li7 0.802 0.590 0.500
Li8 0.891 0.109 0.000
Ag1 0.000 0.000 0.500
Ag2 0.307 0.307 0.000
Ag3 0.693 0.693 0.000
Hg1 0.223 0.777 0.500
Hg2 0.777 0.223 0.500

## Properties
E_form ... -0.18 eV per atom
Crystal system ... orthorhombic